# 1
Compound: Tb4Pr5Tm2
Source: the Alexandria database
Functional: PBE
Structure: optimized geometry

```
data_Tb4Pr5Tm2
_cell_length_a 17.785
_cell_length_b 3.569
_cell_length_c 11.704
_cell_angle_alpha 90.00
_cell_angle_beta 93.93
_cell_angle_gamma 90.00
_symmetry_space_group_name_H-M 'C 1 2/m 1'
_symmetry_Int_Tables_number 12
_symmetry_space_group_name_Hall '-C 2y'
loop_
_atom_site_label
_atom_site_fract_x
_atom_site_fract_y
_atom_site_fract_z
_atom_site_occupancy
Tb1 0.037 0.000 0.262 1
Tb2 0.141 0.500 0.795 1
Pr1 0.000 0.500 0.000 1
Pr2 0.098 0.000 0.536 1
Pr3 0.177 0.000 0.072 1
Tm1 0.216 0.500 0.354 1
```

Computed properties:
- DFT formation energy (eV/atom) = 0.078
- excess energy over the best structure of this formula in the dataset (eV per atom) = 0.000
- total magnetic moment (Bohr magnetons per cell) = 0.00
- E (eV per cell) = -101.01

***

# 2
Compound: TbPrTm
Source: the Alexandria database
Functional: PBE
Structure: optimized geometry

```
data_TbPrTm
_cell_length_a 11.554
_cell_length_b 11.703
_cell_length_c 3.449
_cell_angle_alpha 90.00
_cell_angle_beta 90.00
_cell_angle_gamma 90.00
_symmetry_space_group_name_H-M 'C m m m'
_symmetry_Int_Tables_number 65
_symmetry_space_group_name_Hall '-C 2 2'
loop_
_atom_site_label
_atom_site_fract_x
_atom_site_fract_y
_atom_site_fract_z
_atom_site_occupancy
Tb1 0.238 0.000 0.000 1
Pr1 0.000 0.260 0.500 1
Tm1 0.000 0.000 0.500 1
Tm2 0.000 0.500 0.000 1
```

Computed properties:
- DFT formation energy (eV/atom) = 0.641
- excess energy over the best structure of this formula in the dataset (eV per atom) = 0.620
- total magnetic moment (Bohr magnetons per cell) = 0.00
- E (eV per cell) = -47.83

***

# 3
Compound: Tb15Pr4Tm
Source: the Alexandria database
Functional: PBE
Structure: optimized geometry

```
data_Tb15Pr4Tm
_cell_length_a 5.079
_cell_length_b 5.079
_cell_length_c 25.319
_cell_angle_alpha 90.00
_cell_angle_beta 90.00
_cell_angle_gamma 90.00
_symmetry_space_group_name_H-M 'P 4/m m m'
_symmetry_Int_Tables_number 123
_symmetry_space_group_name_Hall '-P 4 2'
loop_
_atom_site_label
_atom_site_fract_x
_atom_site_fract_y
_atom_site_fract_z
_atom_site_occupancy
Tb1 0.000 0.000 0.000 1
Tb2 0.000 0.000 0.198 1
Tb3 0.000 0.000 0.399 1
Tb4 0.000 0.500 0.098 1
Tb5 0.000 0.500 0.299 1
Tb6 0.000 0.500 0.500 1
Pr1 0.500 0.500 0.199 1
Pr2 0.500 0.500 0.399 1
Tm1 0.500 0.500 0.000 1
```

Computed properties:
- DFT formation energy (eV/atom) = 0.019
- total magnetic moment (Bohr magnetons per cell) = 0.00
- E (eV per cell) = -92.67

***

# 4
Compound: Tb2Pr7Tm
Source: the Alexandria database
Functional: PBE
Structure: optimized geometry

```
data_Tb2Pr7Tm
_cell_length_a 8.879
_cell_length_b 16.783
_cell_length_c 5.637
_cell_angle_alpha 90.00
_cell_angle_beta 90.00
_cell_angle_gamma 90.00
_symmetry_space_group_name_H-M 'C m m m'
_symmetry_Int_Tables_number 65
_symmetry_space_group_name_Hall '-C 2 2'
loop_
_atom_site_label
_atom_site_fract_x
_atom_site_fract_y
_atom_site_fract_z
_atom_site_occupancy
Tb1 0.000 0.206 0.000 1
Pr1 0.000 0.000 0.000 1
Pr2 0.000 0.283 0.500 1
Pr3 0.180 0.388 0.000 1
Tm1 0.000 0.500 0.500 1
```

Computed properties:
- DFT formation energy (eV/atom) = 0.623
- total magnetic moment (Bohr magnetons per cell) = 0.00
- E (eV per cell) = -81.91

***

# 5
Compound: Tb5Pr2Tm2
Source: the Alexandria database
Functional: PBE
Structure: optimized geometry

```
data_Tb5Pr2Tm2
_cell_length_a 14.910
_cell_length_b 11.883
_cell_length_c 6.729
_cell_angle_alpha 90.00
_cell_angle_beta 90.00
_cell_angle_gamma 90.00
_symmetry_space_group_name_H-M 'I m a 2'
_symmetry_Int_Tables_number 46
_symmetry_space_group_name_Hall 'I 2 -2a'
loop_
_atom_site_label
_atom_site_fract_x
_atom_site_fract_y
_atom_site_fract_z
_atom_site_occupancy
Tb1 0.052 0.249 0.000 1
Tb2 0.143 0.733 0.810 1
Tb3 0.250 0.239 0.802 1
Pr1 0.000 0.000 0.182 1
Pr2 0.250 0.506 0.604 1
Tm1 0.126 0.501 0.147 1
```

Computed properties:
- DFT formation energy (eV/atom) = 0.217
- excess energy over the best structure of this formula in the dataset (eV per atom) = 0.000
- total magnetic moment (Bohr magnetons per cell) = 0.00
- E (eV per cell) = -158.81

***

# 6
Compound: Tb3Pr6Tm
Source: the Alexandria database
Functional: PBE
Structure: optimized geometry

```
data_Tb3Pr6Tm
_cell_length_a 10.984
_cell_length_b 19.465
_cell_length_c 6.468
_cell_angle_alpha 90.00
_cell_angle_beta 90.00
_cell_angle_gamma 90.00
_symmetry_space_group_name_H-M 'C m c 21'
_symmetry_Int_Tables_number 36
_symmetry_space_group_name_Hall 'C 2c -2'
loop_
_atom_site_label
_atom_site_fract_x
_atom_site_fract_y
_atom_site_fract_z
_atom_site_occupancy
Tb1 0.000 0.114 0.000 1
Tb2 0.169 0.385 0.387 1
Pr1 0.000 0.219 0.577 1
Pr2 0.000 0.466 0.799 1
Pr3 0.171 0.043 0.469 1
Pr4 0.228 0.211 0.274 1
Tm1 0.000 0.307 0.028 1
```

Computed properties:
- DFT formation energy (eV/atom) = 0.137
- excess energy over the best structure of this formula in the dataset (eV per atom) = 0.000
- total magnetic moment (Bohr magnetons per cell) = 0.00
- E (eV per cell) = -182.66